Entry 1:
{
  "formula": "LiSmMgAl",
  "functional": "PBE",
  "state": "relaxed",
  "lattice_angstrom": [[7.046, 0.000, 0.000], [0.000, 7.046, 0.000], [0.000, 0.000, 7.046]],
  "species": ["Li", "Li", "Li", "Li", "Sm", "Sm", "Sm", "Sm", "Mg", "Mg", "Mg", "Mg", "Al", "Al", "Al", "Al"],
  "fractional_positions": [[0.000, 0.000, 0.000], [0.000, 0.500, 0.500], [0.500, 0.000, 0.500], [0.500, 0.500, 0.000], [0.250, 0.250, 0.750], [0.250, 0.750, 0.250], [0.750, 0.250, 0.250], [0.750, 0.750, 0.750], [0.250, 0.250, 0.250], [0.250, 0.750, 0.750], [0.750, 0.250, 0.750], [0.750, 0.750, 0.250], [0.000, 0.000, 0.500], [0.000, 0.500, 0.000], [0.500, 0.000, 0.000], [0.500, 0.500, 0.500]],
  "sg": "No. 216",
  "e_tot_ev_per_cell": -51.5,
  "magmom_total_mub_per_cell": 0.00
}

Entry 2:
{
  "formula": "LiCe4Pb5",
  "functional": "PBE",
  "state": "relaxed",
  "lattice_angstrom": [[4.155, 0.000, 0.000], [0.000, 4.155, 0.000], [0.000, 0.000, 16.847]],
  "species": ["Li", "Ce", "Ce", "Ce", "Ce", "Pb", "Pb", "Pb", "Pb", "Pb"],
  "fractional_positions": [[0.000, 0.000, 0.000], [0.000, 0.000, 0.206], [0.000, 0.000, 0.401], [0.000, 0.000, 0.599], [0.000, 0.000, 0.794], [0.500, 0.500, 0.096], [0.500, 0.500, 0.302], [0.500, 0.500, 0.500], [0.500, 0.500, 0.698], [0.500, 0.500, 0.904]],
  "sg": "No. 123",
  "e_tot_ev_per_cell": -47.3,
  "magmom_total_mub_per_cell": 4.25
}

Entry 3:
{
  "formula": "EuTmPd4",
  "functional": "PBE",
  "state": "relaxed",
  "lattice_angstrom": [[0.000, 3.866, 3.866], [3.866, 0.000, 3.866], [3.866, 3.866, 0.000]],
  "species": ["Eu", "Tm", "Pd", "Pd", "Pd", "Pd"],
  "fractional_positions": [[0.000, 0.000, 0.000], [0.750, 0.750, 0.750], [0.375, 0.375, 0.375], [0.375, 0.375, 0.874], [0.375, 0.874, 0.375], [0.874, 0.375, 0.375]],
  "sg": "No. 216",
  "e_tot_ev_per_cell": -39.9,
  "magmom_total_mub_per_cell": 6.88
}

Entry 4:
{
  "formula": "NaLaPrSc",
  "functional": "PBE",
  "state": "relaxed",
  "lattice_angstrom": [[8.042, 0.000, 0.000], [0.000, 8.042, 0.000], [0.000, 0.000, 8.042]],
  "species": ["Na", "Na", "Na", "Na", "La", "La", "La", "La", "Pr", "Pr", "Pr", "Pr", "Sc", "Sc", "Sc", "Sc"],
  "fractional_positions": [[0.000, 0.000, 0.000], [0.000, 0.500, 0.500], [0.500, 0.000, 0.500], [0.500, 0.500, 0.000], [0.250, 0.250, 0.750], [0.250, 0.750, 0.250], [0.750, 0.250, 0.250], [0.750, 0.750, 0.750], [0.250, 0.250, 0.250], [0.250, 0.750, 0.750], [0.750, 0.250, 0.750], [0.750, 0.750, 0.250], [0.000, 0.000, 0.500], [0.000, 0.500, 0.000], [0.500, 0.000, 0.000], [0.500, 0.500, 0.500]],
  "sg": "No. 216",
  "e_tot_ev_per_cell": -65.4,
  "magmom_total_mub_per_cell": 0.00
}

Entry 5:
{
  "formula": "BeCoW2",
  "functional": "PBE",
  "state": "relaxed",
  "lattice_angstrom": [[3.174, 0.000, 0.000], [0.000, 4.111, 0.000], [0.000, 0.000, 8.025]],
  "species": ["Be", "Be", "Co", "Co", "W", "W", "W", "W"],
  "fractional_positions": [[0.000, 0.000, 0.000], [0.500, 0.500, 0.500], [0.000, 0.000, 0.500], [0.500, 0.500, 0.000], [0.000, 0.500, 0.251], [0.000, 0.500, 0.749], [0.500, 0.000, 0.249], [0.500, 0.000, 0.751]],
  "sg": "No. 71",
  "e_tot_ev_per_cell": -72.3,
  "magmom_total_mub_per_cell": 0.00
}

Entry 6:
{
  "formula": "Ga2Pb2Au3",
  "functional": "PBE",
  "state": "relaxed",
  "lattice_angstrom": [[4.297, 0.000, 0.000], [1.962, 5.469, 0.000], [0.256, 0.414, 7.431]],
  "species": ["Ga", "Ga", "Pb", "Pb", "Au", "Au", "Au"],
  "fractional_positions": [[0.128, 0.231, 0.442], [0.872, 0.769, 0.558], [0.354, 0.775, 0.131], [0.646, 0.225, 0.869], [0.296, 0.914, 0.734], [0.500, 0.500, 0.500], [0.704, 0.086, 0.266]],
  "sg": "No. 2",
  "e_tot_ev_per_cell": -24.1,
  "magmom_total_mub_per_cell": 0.00
}